(1)
DyErGa2I2: optimized geometry, GGA-PBE.

a = 4.1809 Å, b = 4.1809 Å, c = 12.1070 Å
α = 90.00°, β = 90.00°, γ = 120.00°
Last column: nearest neighbours and their distance in Å.
Space group P3m1 (No. 156)
Symmetry-distinct sites (fractional):
Dy (0.0000, 0.0000, 0.0000) x1  3 Ga 2.93, 3 I 3.13
Er (0.0000, 0.0000, 0.6699) x1  3 Ga 2.93, 3 I 3.12
Ga (0.3333, 0.6667, 0.8631) x1  3 Ga 2.51
Ga (0.6667, 0.3333, 0.8066) x1  3 Ga 2.51
I (0.3333, 0.6667, 0.5061) x1  3 Er 3.12
I (0.6667, 0.3333, 0.1641) x1  3 Dy 3.13

Calculated values
electronic total energy: -24.40 eV/cell

=====

(2)
Dy2ErMg3InGa2: optimized geometry, GGA-PBE.

a = 4.5452 Å, b = 12.6279 Å, c = 7.3147 Å
α = 90.00°, β = 90.00°, γ = 90.00°
Last column: nearest neighbours and their distance in Å.
Space group Amm2 (No. 38)
Symmetry-distinct sites (fractional):
Dy (0.0000, 0.2188, 0.0000) x4  4 Ga 3.14, 1 In 3.20, 2 Mg 3.22
Er (0.0000, 0.0000, 0.3437) x2  4 Ga 3.13, 1 In 3.19, 2 Mg 3.22
Mg (0.5000, 0.0000, 0.0312) x2  2 Ga 2.78, 2 In 2.92
Mg (0.5000, 0.1249, 0.6558) x4  2 Ga 2.79, 2 In 2.91
In (0.0000, 0.0000, 0.7796) x2  6 Mg 2.91-2.92, 1 Er 3.19, 2 Dy 3.20
Ga (0.5000, 0.1660, 0.2811) x4  3 Mg 2.78-2.79

Calculated values
electronic total energy: -62.63 eV/cell

=====

(3)
LaDy2ErGa4: optimized geometry, GGA-PBE.

a = 6.7240 Å, b = 4.4410 Å, c = 13.1296 Å
α = 90.00°, β = 90.00°, γ = 90.00°
Last column: nearest neighbours and their distance in Å.
Space group Amm2 (No. 38)
Symmetry-distinct sites (fractional):
La (0.0000, 0.0000, 0.0000) x2  8 Ga 3.10-3.30
Dy (0.0000, 0.0000, 0.7215) x2  6 Ga 3.05-3.14
Dy (0.5000, 0.0000, 0.1674) x2  6 Ga 3.04-3.08
Er (0.5000, 0.0000, 0.8919) x2  8 Ga 3.07-3.24
Ga (0.1983, 0.0000, 0.3439) x4  2 Ga 2.67-2.72
Ga (0.3107, 0.0000, 0.5428) x4  2 Ga 2.55-2.72

Calculated values
electronic total energy: -71.32 eV/cell

=====

(4)
Dy2ErMg3Ga3: optimized geometry, GGA-PBE.

a = 4.4250 Å, b = 12.5418 Å, c = 7.2669 Å
α = 90.00°, β = 90.00°, γ = 90.00°
Last column: nearest neighbours and their distance in Å.
Space group Amm2 (No. 38)
Symmetry-distinct sites (fractional):
Dy (0.0000, 0.2136, 0.0000) x4  5 Ga 3.10, 2 Mg 3.25
Er (0.0000, 0.0000, 0.3595) x2  5 Ga 3.08-3.09, 2 Mg 3.26
Mg (0.5000, 0.0000, 0.0293) x2  4 Ga 2.80-2.84, 2 Mg 3.06
Mg (0.5000, 0.1217, 0.6644) x4  4 Ga 2.80-2.83, 2 Mg 3.05-3.06
Ga (0.0000, 0.0000, 0.7844) x2  6 Mg 2.83-2.84, 1 Er 3.09, 2 Dy 3.10
Ga (0.5000, 0.1658, 0.2863) x4  3 Mg 2.80-2.81, 2 Er 3.08, 4 Dy 3.10

Calculated values
electronic total energy: -63.87 eV/cell

=====

(5)
DyEr2Mg3Ga3: optimized geometry, GGA-PBE.

a = 4.4151 Å, b = 12.5620 Å, c = 7.2290 Å
α = 90.00°, β = 90.00°, γ = 90.00°
Last column: nearest neighbours and their distance in Å.
Space group Amm2 (No. 38)
Symmetry-distinct sites (fractional):
Dy (0.0000, 0.0000, 0.0000) x2  5 Ga 3.09-3.11, 2 Mg 3.24
Er (0.0000, 0.2140, 0.3578) x4  5 Ga 3.08-3.09, 2 Mg 3.25
Mg (0.5000, 0.0000, 0.3283) x2  4 Ga 2.81, 2 Mg 3.05
Mg (0.5000, 0.1215, 0.6929) x4  4 Ga 2.79-2.83, 2 Mg 3.05
Ga (0.0000, 0.0000, 0.5697) x2  6 Mg 2.81-2.83, 2 Er 3.09, 1 Dy 3.11
Ga (0.5000, 0.1675, 0.0717) x4  3 Mg 2.79-2.81, 4 Er 3.08, 2 Dy 3.09

Calculated values
electronic total energy: -63.72 eV/cell

=====

(6)
Dy2ErMg3TlGa2: optimized geometry, GGA-PBE.

a = 4.5394 Å, b = 12.6577 Å, c = 7.3293 Å
α = 90.00°, β = 90.00°, γ = 90.00°
Last column: nearest neighbours and their distance in Å.
Space group Amm2 (No. 38)
Symmetry-distinct sites (fractional):
Dy (0.0000, 0.2186, 0.0000) x4  4 Ga 3.14, 1 Tl 3.20, 2 Mg 3.22
Er (0.0000, 0.0000, 0.3441) x2  4 Ga 3.13, 1 Tl 3.19, 2 Mg 3.22
Mg (0.5000, 0.0000, 0.0316) x2  2 Ga 2.79, 2 Tl 2.93
Mg (0.5000, 0.1252, 0.6558) x4  2 Ga 2.79-2.80, 2 Tl 2.91
Tl (0.0000, 0.0000, 0.7796) x2  6 Mg 2.91-2.93, 1 Er 3.19, 2 Dy 3.20
Ga (0.5000, 0.1660, 0.2813) x4  3 Mg 2.79-2.80

Calculated values
electronic total energy: -61.48 eV/cell

=====

(7)
DyErGa2Ni4: optimized geometry, GGA-PBE.

a = 4.1402 Å, b = 4.1402 Å, c = 8.8021 Å
α = 90.00°, β = 90.00°, γ = 120.00°
Last column: nearest neighbours and their distance in Å.
Space group P-6m2 (No. 187)
Symmetry-distinct sites (fractional):
Dy (0.0000, 0.0000, 0.0000) x1  8 Ni 2.78-2.91
Er (0.6667, 0.3333, 0.5000) x1  8 Ni 2.75-2.89
Ga (0.3333, 0.6667, 0.2514) x2  6 Ni 2.46
Ni (0.0000, 0.0000, 0.3162) x2  3 Ga 2.46, 3 Ni 2.64
Ni (0.6667, 0.3333, 0.1877) x2  3 Ga 2.46, 3 Ni 2.64, 1 Er 2.75

Calculated values
electronic total energy: -42.11 eV/cell

=====

(8)
Dy2ErGa4Ni: optimized geometry, GGA-PBE.

a = 6.6095 Å, b = 3.6626 Å, c = 13.7324 Å
α = 90.00°, β = 90.00°, γ = 90.00°
Last column: nearest neighbours and their distance in Å.
Space group Amm2 (No. 38)
Symmetry-distinct sites (fractional):
Dy (0.0000, 0.0000, 0.0000) x2  6 Ga 3.13-3.16
Dy (0.5000, 0.0000, 0.4652) x2  6 Ga 2.87-2.94
Er (0.0000, 0.0000, 0.2682) x2  8 Ga 2.86-3.06
Ga (0.2547, 0.0000, 0.6380) x4  1 Ga 2.59, 2 Ni 2.60, 1 Dy 2.87
Ga (0.3109, 0.0000, 0.8250) x4  2 Ga 2.50-2.59, 2 Ni 2.78
Ni (0.5000, 0.0000, 0.2033) x2  8 Ga 2.60-2.78

Calculated values
electronic total energy: -70.27 eV/cell

=====

Copy entry 8 word for word.
Dy2ErGa4Ni: optimized geometry, GGA-PBE.

a = 6.6095 Å, b = 3.6626 Å, c = 13.7324 Å
α = 90.00°, β = 90.00°, γ = 90.00°
Last column: nearest neighbours and their distance in Å.
Space group Amm2 (No. 38)
Symmetry-distinct sites (fractional):
Dy (0.0000, 0.0000, 0.0000) x2  6 Ga 3.13-3.16
Dy (0.5000, 0.0000, 0.4652) x2  6 Ga 2.87-2.94
Er (0.0000, 0.0000, 0.2682) x2  8 Ga 2.86-3.06
Ga (0.2547, 0.0000, 0.6380) x4  1 Ga 2.59, 2 Ni 2.60, 1 Dy 2.87
Ga (0.3109, 0.0000, 0.8250) x4  2 Ga 2.50-2.59, 2 Ni 2.78
Ni (0.5000, 0.0000, 0.2033) x2  8 Ga 2.60-2.78

Calculated values
electronic total energy: -70.27 eV/cell